Below is a geometry-optimized ScNiB4 structure, with properties calculated at the GGA-PBE level.

Cell: 4.5328 4.5328 4.5328 Å, 140.33 110.01 83.58°
Fractional positions:
Sc: 0.0000 0.0000 0.0000
Ni: 0.5000 0.5000 0.0000
B: 0.0708 0.7437 0.3271
B: 0.4167 0.7437 0.6729
B: 0.5833 0.2563 0.3271
B: 0.9292 0.2563 0.6729

Calculated values
**Offset from the most stable computed form**: 197 meV per atom
**Total magnetization**: 0.0 μB per formula unit
**Space-group type**: Immm

Below is a geometry-optimized HfAgIr structure, with properties calculated at the GGA-PBE level.

Cell: 4.4371 4.4371 4.4371 Å, 60.00 60.00 60.00°
Fractional positions:
Hf: 0.0000 0.0000 0.0000
Ag: 0.7500 0.7500 0.7500
Ir: 0.2500 0.2500 0.2500

Calculated values
**Offset from the most stable computed form**: 183 meV per atom
**Total magnetization**: 0.0 μB per formula unit
**Space-group type**: F-43m

Below is a geometry-optimized TbTmGe2Ir structure, with properties calculated at the GGA-PBE level.

Cell: 5.6664 5.6664 10.2893 Å, 114.70 114.70 44.44°
Fractional positions:
Tb: 0.1904 0.1904 0.1186
Tb: 0.8096 0.8096 0.8814
Tm: 0.0085 0.0085 0.3302
Tm: 0.9915 0.9915 0.6698
Ge: 0.3521 0.3521 0.4471
Ge: 0.4806 0.4806 0.1161
Ge: 0.5194 0.5194 0.8839
Ge: 0.6479 0.6479 0.5529
Ir: 0.2712 0.2712 0.6643
Ir: 0.7288 0.7288 0.3357

Calculated values
**Offset from the most stable computed form**: 0 meV per atom
**Total magnetization**: 0.0 μB per formula unit
**Space-group type**: C2/m

Below is a geometry-optimized SmBeNO structure, with properties calculated at the GGA-PBE level.

Cell: 3.3698 5.2655 5.0878 Å, 90.00 90.00 90.00°
Fractional positions:
Sm: 0.0000 0.2377 0.0000
Sm: 0.0000 0.7623 0.5000
Be: 0.5000 0.2078 0.4976
Be: 0.5000 0.7922 0.9976
N: 0.0000 0.3264 0.4913
N: 0.0000 0.6736 0.9913
O: 0.5000 0.0074 0.7523
O: 0.5000 0.9926 0.2523

Calculated values
**Offset from the most stable computed form**: 154 meV per atom
**Total magnetization**: 0.0 μB per formula unit
**Space-group type**: Pmc2_1

Below is a geometry-optimized ZrZnFeOs structure, with properties calculated at the GGA-PBE level.

Cell: 4.4265 4.4265 4.4265 Å, 60.00 60.00 60.00°
Fractional positions:
Zr: 0.0000 0.0000 0.0000
Zn: 0.5000 0.5000 0.5000
Fe: 0.7500 0.7500 0.7500
Os: 0.2500 0.2500 0.2500

Calculated values
**Offset from the most stable computed form**: 0 meV per atom
**Total magnetization**: 2.0 μB per formula unit
**Space-group type**: F-43m

Below is a geometry-optimized FeSn2Bi structure, with properties calculated at the GGA-PBE level.

Cell: 5.0545 5.0545 5.0545 Å, 60.00 60.00 60.00°
Fractional positions:
Fe: 0.0000 0.0000 0.0000
Sn: 0.2500 0.2500 0.2500
Sn: 0.5000 0.5000 0.5000
Bi: 0.7500 0.7500 0.7500

Calculated values
**Final energy**: -18.20 eV per formula unit
**Total magnetization**: 2.5 μB per formula unit
**Space-group type**: F-43m

Below is a geometry-optimized LuMg2Ni structure, with properties calculated at the GGA-PBE level.

Cell: 4.7693 4.7693 4.7693 Å, 60.00 60.00 60.00°
Fractional positions:
Lu: 0.0000 0.0000 0.0000
Mg: 0.2500 0.2500 0.2500
Mg: 0.5000 0.5000 0.5000
Ni: 0.7500 0.7500 0.7500

Calculated values
**Final energy**: -13.50 eV per formula unit
**Total magnetization**: 0.0 μB per formula unit
**Space-group type**: F-43m

Below is a geometry-optimized Y2CuSn2 structure, with properties calculated at the GGA-PBE level.

Cell: 5.8947 5.8947 5.8947 Å, 119.03 119.03 91.69°
Fractional positions:
Y: 0.2500 0.7500 0.5000
Y: 0.7500 0.2500 0.5000
Cu: 0.0000 0.0000 0.0000
Sn: 0.3204 0.3204 0.0000
Sn: 0.6796 0.6796 0.0000

Calculated values
**Final energy**: -24.71 eV per formula unit
**Total magnetization**: 0.0 μB per formula unit
**Space-group type**: I4/mmm

Below is a geometry-optimized Dy2H2Br3Cl structure, with properties calculated at the GGA-PBE level.

Cell: 3.8107 3.8107 14.8037 Å, 90.00 90.00 120.00°
Fractional positions:
Dy: 0.0000 0.0000 0.0000
Dy: 0.0000 0.0000 0.4956
H: 0.3333 0.6667 0.4959
H: 0.6667 0.3333 0.9977
Br: 0.3333 0.6667 0.8698
Br: 0.6667 0.3333 0.3659
Br: 0.6667 0.3333 0.6259
Cl: 0.3333 0.6667 0.1163

Calculated values
**Final energy**: -35.48 eV per formula unit
**Total magnetization**: 0.0 μB per formula unit
**Space-group type**: P3m1

Below is a geometry-optimized SrBeAg3 structure, with properties calculated at the GGA-PBE level.

Cell: 8.7258 8.7258 4.1916 Å, 90.00 90.00 120.00°
Fractional positions:
Sr: 0.3333 0.6667 0.2500
Sr: 0.6667 0.3333 0.7500
Be: 0.0000 0.0000 0.0000
Be: 0.0000 0.0000 0.5000
Ag: 0.1383 0.2766 0.2500
Ag: 0.1383 0.8617 0.2500
Ag: 0.2766 0.1383 0.7500
Ag: 0.7234 0.8617 0.2500
Ag: 0.8617 0.1383 0.7500
Ag: 0.8617 0.7234 0.7500

Calculated values
**Final energy**: -11.63 eV per formula unit
**Space-group type**: P6_3/mmc

Below is a geometry-optimized DyTeAuO structure, with properties calculated at the GGA-PBE level.

Cell: 4.0187 4.0187 10.0620 Å, 90.00 90.00 90.00°
Fractional positions:
Dy: 0.0000 0.0000 0.0000
Dy: 0.5000 0.5000 0.2131
Te: 0.0000 0.0000 0.3922
Te: 0.5000 0.5000 0.8215
Au: 0.0000 0.5000 0.6071
Au: 0.5000 0.0000 0.6071
O: 0.0000 0.5000 0.1066
O: 0.5000 0.0000 0.1066

Calculated values
**Offset from the most stable computed form**: 40 meV per atom
**Total magnetization**: 0.0 μB per formula unit
**Space-group type**: P4mm

Below is a geometry-optimized La2Ge5Pt3 structure, with properties calculated at the GGA-PBE level.

Cell: 8.5755 8.5755 8.5755 Å, 106.12 89.91 136.39°
Fractional positions:
La: 0.1302 0.2325 0.3627
La: 0.3698 0.7325 0.1024
La: 0.6302 0.2675 0.8976
La: 0.8698 0.7675 0.6373
Ge: 0.0188 0.7500 0.2688
Ge: 0.1078 0.6506 0.7584
Ge: 0.2500 0.2500 0.0000
Ge: 0.3922 0.1506 0.5428
Ge: 0.4812 0.7500 0.7312
Ge: 0.5188 0.2500 0.2688
Ge: 0.6078 0.8494 0.4572
Ge: 0.7500 0.7500 0.0000
Ge: 0.8922 0.3494 0.2416
Ge: 0.9812 0.2500 0.7312
Pt: 0.1364 0.8887 0.0251
Pt: 0.2500 0.7500 0.5000
Pt: 0.3636 0.3887 0.7523
Pt: 0.6364 0.6113 0.2477
Pt: 0.7500 0.2500 0.5000
Pt: 0.8636 0.1113 0.9749

Calculated values
**Final energy**: -59.97 eV per formula unit
**Total magnetization**: 0.0 μB per formula unit
**Space-group type**: Ibam

no.,calculated volume (A^3/atom)
1,9.01
2,20.59
3,20.64
4,11.28
5,15.33
6,22.83
7,19.18
8,29.38
9,23.27
10,27.64
11,20.31
12,19.93